[1]
The following is a DFT calculation (PBE) of crystalline DyNpRe at its relaxed geometry.

Cell: 4.4803 4.4803 7.1494 Å, 90.00 90.00 90.00°
With the nearest neighbours (Å) after each atom.
Space group P4/nmm (No. 129, origin choice 2)
One atom of each set of equivalent atoms:
Dy: 0.2500 0.2500 0.1978  4 Re 3.11, 5 Np 3.22-3.38
Np: 0.2500 0.2500 0.7255  4 Re 2.76
Re: 0.2500 0.7500 0.5000  4 Np 2.76

Calculated values
DFT total energy: -57.44 eV/cell

---

[2]
The following is a DFT calculation (PBE) of crystalline DyNpRh4 at its relaxed geometry.

Cell: 7.5309 7.5309 7.5309 Å, 90.00 90.00 90.00°
With the nearest neighbours (Å) after each atom.
Space group F-43m (No. 216)
One atom of each set of equivalent atoms:
Dy: 0.0000 0.0000 0.0000  12 Rh 3.12, 4 Np 3.26
Np: 0.2500 0.2500 0.2500  12 Rh 3.12, 4 Dy 3.26
Rh: 0.1249 0.1249 0.6249  6 Rh 2.66

Calculated values
DFT total energy: -200.13 eV/cell

---

[3]
The following is a DFT calculation (PBE) of crystalline DyNpRh at its relaxed geometry.

Cell: 10.2975 3.3512 7.6633 Å, 90.00 91.74 90.00°
With the nearest neighbours (Å) after each atom.
Space group C2/m (No. 12)
One atom of each set of equivalent atoms:
Dy: 0.0822 0.0000 0.3080  4 Rh 2.83-2.89
Np: 0.1729 0.5000 0.9530  2 Np 2.40
Rh: 0.1909 0.0000 0.6601  2 Np 2.81, 4 Dy 2.83-2.89

Calculated values
DFT total energy: -101.59 eV/cell

---

[4]
The following is a DFT calculation (PBE) of crystalline Dy3Np2Ru4 at its relaxed geometry.

Cell: 10.7512 4.2163 8.8302 Å, 90.00 100.07 90.00°
With the nearest neighbours (Å) after each atom.
Space group C2/m (No. 12)
One atom of each set of equivalent atoms:
Dy: 0.0000 0.0000 0.0000  8 Ru 3.16-3.53
Dy: 0.1247 0.5000 0.3880  6 Ru 2.94-3.11, 1 Np 3.28
Np: 0.1722 0.5000 0.7812  5 Ru 2.55-2.72
Ru: 0.0896 0.0000 0.6343  2 Np 2.55, 1 Ru 2.78
Ru: 0.2182 0.5000 0.0941  3 Np 2.57-2.72, 2 Ru 2.84

Calculated values
DFT total energy: -158.71 eV/cell

---

[5]
The following is a DFT calculation (PBE) of crystalline Dy3NpRu3 at its relaxed geometry.

Cell: 11.9793 3.9669 14.4646 Å, 90.00 113.65 90.00°
With the nearest neighbours (Å) after each atom.
Space group C2/m (No. 12)
One atom of each set of equivalent atoms:
Dy: 0.0333 0.0000 0.2979  2 Ru 2.75
Dy: 0.1280 0.5000 0.1361  6 Ru 3.01-3.11, 2 Np 3.33
Dy: 0.1785 0.0000 0.5709  4 Ru 2.84-3.16
Np: 0.1667 0.5000 0.8949  3 Ru 2.29-2.55
Ru: 0.0405 0.5000 0.4316  2 Ru 2.53-2.82, 2 Dy 2.75
Ru: 0.0853 0.0000 0.9595  2 Np 2.55, 1 Ru 2.73
Ru: 0.1807 0.5000 0.7417  1 Np 2.29

Calculated values
DFT total energy: -224.47 eV/cell

---

[6]
The following is a DFT calculation (PBE) of crystalline DyNpRu4 at its relaxed geometry.

Cell: 7.5176 7.5176 7.5176 Å, 90.00 90.00 90.00°
With the nearest neighbours (Å) after each atom.
Space group F-43m (No. 216)
One atom of each set of equivalent atoms:
Dy: 0.0000 0.0000 0.0000  12 Ru 3.12, 4 Np 3.26
Np: 0.2500 0.2500 0.2500  12 Ru 3.12, 4 Dy 3.26
Ru: 0.1249 0.1249 0.6249  6 Ru 2.66

Calculated values
DFT total energy: -221.76 eV/cell

---

[7]
The following is a DFT calculation (PBE) of crystalline Dy2NpRu3 at its relaxed geometry.

Cell: 3.2819 5.5744 13.6472 Å, 90.00 90.00 90.00°
With the nearest neighbours (Å) after each atom.
Space group Immm (No. 71)
One atom of each set of equivalent atoms:
Dy: 0.0000 0.0000 0.1677  6 Ru 2.80-3.04
Np: 0.0000 0.0000 0.5000  6 Ru 2.57-2.79
Ru: 0.0000 0.5000 0.1449  2 Np 2.57, 2 Dy 2.80
Ru: 0.0000 0.5000 0.5000  2 Np 2.79, 4 Dy 2.82

Calculated values
DFT total energy: -99.49 eV/cell

---

[8]
The following is a DFT calculation (PBE) of crystalline Dy5NpRu4 at its relaxed geometry.

Cell: 15.4064 4.5638 6.8239 Å, 90.00 103.04 90.00°
With the nearest neighbours (Å) after each atom.
Space group C2/m (No. 12)
One atom of each set of equivalent atoms:
Dy: 0.0000 0.0000 0.0000  6 Ru 2.98-3.01
Dy: 0.1676 0.5000 0.0425  4 Ru 2.90-2.96
Dy: 0.1720 0.5000 0.5437  4 Ru 2.83-3.12
Np: 0.0000 0.0000 0.5000  6 Ru 2.53-2.73
Ru: 0.0025 0.5000 0.7214  2 Np 2.73, 4 Dy 2.88-2.98, 1 Ru 3.01
Ru: 0.1440 0.0000 0.7663  1 Np 2.53, 2 Dy 2.83

Calculated values
DFT total energy: -151.48 eV/cell

---

[9]
The following is a DFT calculation (PBE) of crystalline Dy2NpRu3 at its relaxed geometry.

Cell: 5.8158 5.8158 7.9713 Å, 90.00 90.00 120.00°
With the nearest neighbours (Å) after each atom.
Space group P6_3/mmc (No. 194)
One atom of each set of equivalent atoms:
Dy: 0.3333 0.6667 0.0574  9 Ru 2.98-3.29, 1 Dy 3.07
Np: 0.0000 0.0000 0.0000  6 Ru 2.60
Ru: 0.1657 0.3315 0.7500  2 Np 2.60, 2 Ru 2.89

Calculated values
DFT total energy: -104.63 eV/cell

---

[10]
The following is a DFT calculation (PBE) of crystalline DyNpTcRu at its relaxed geometry.

Cell: 6.7592 6.7592 6.7592 Å, 90.00 90.00 90.00°
With the nearest neighbours (Å) after each atom.
Space group F-43m (No. 216)
One atom of each set of equivalent atoms:
Dy: 0.0000 0.0000 0.0000  4 Tc 2.93, 4 Ru 2.93
Np: 0.0000 0.0000 0.5000  4 Tc 2.93, 4 Ru 2.93
Tc: 0.2500 0.2500 0.2500  4 Dy 2.93, 4 Np 2.93
Ru: 0.2500 0.2500 0.7500  4 Dy 2.93, 4 Np 2.93

Calculated values
DFT total energy: -149.23 eV/cell

---

[11]
The following is a DFT calculation (PBE) of crystalline Dy2NpS5 at its relaxed geometry.

Cell: 11.7477 7.8552 7.3801 Å, 90.00 90.00 90.00°
With the nearest neighbours (Å) after each atom.
Space group Pnma (No. 62)
One atom of each set of equivalent atoms:
Dy: 0.1788 0.0014 0.0158  8 S 2.79-3.02
Np: 0.0071 0.7500 0.5693  7 S 2.64-2.87
S: 0.0005 0.2500 0.0420  1 Np 2.87, 4 Dy 2.87-2.92, 1 S 3.16
S: 0.1005 0.0429 0.6609  2 Np 2.64-2.67, 2 Dy 2.79-2.83
S: 0.1857 0.7500 0.3248  1 Np 2.77, 4 Dy 2.89-3.02
S: 0.2163 0.2500 0.2980  1 Np 2.80, 4 Dy 2.83-2.89

Calculated values
Raw formation energy: -1353 kJ/mol of formula units

---

[12]
The following is a DFT calculation (PBE) of crystalline DyNp2S3 at its relaxed geometry.

Cell: 7.8269 5.5187 11.7156 Å, 90.00 90.00 90.00°
With the nearest neighbours (Å) after each atom.
Space group Pnma (No. 62)
One atom of each set of equivalent atoms:
Dy: 0.1262 0.2500 0.0824  6 S 2.76-2.78
Np: 0.1240 0.2500 0.4164  6 S 2.76-2.77
Np: 0.1250 0.2500 0.7508  6 S 2.75-2.77
S: 0.1233 0.7500 0.4153  5 Np 2.75-2.76, 1 Dy 2.77
S: 0.1245 0.7500 0.7509  4 Np 2.76, 2 Dy 2.77-2.78
S: 0.1257 0.7500 0.0833  3 Dy 2.76-2.77, 3 Np 2.76-2.77

Calculated values
Raw formation energy: -916 kJ/mol of formula units

---

[13]
The following is a DFT calculation (PBE) of crystalline DyNp2S6 at its relaxed geometry.

Cell: 7.1636 7.1636 4.1841 Å, 90.00 90.00 120.00°
With the nearest neighbours (Å) after each atom.
Space group P-3 (No. 147)
One atom of each set of equivalent atoms:
Dy: 0.0000 0.0000 0.0000  6 S 2.74
Np: 0.3333 0.6667 0.2141  9 S 2.77-2.92
S: 0.0806 0.3839 0.7382  1 Dy 2.74, 3 Np 2.77-2.92

Calculated values
Raw formation energy: -1142 kJ/mol of formula units

---

[14]
The following is a DFT calculation (PBE) of crystalline DyNp3S4 at its relaxed geometry.

Cell: 7.8129 11.0442 3.9051 Å, 90.00 90.00 90.00°
With the nearest neighbours (Å) after each atom.
Space group Cmmm (No. 65)
One atom of each set of equivalent atoms:
Dy: 0.0000 0.0000 0.0000  6 S 2.77-2.78
Np: 0.0000 0.5000 0.0000  6 S 2.74-2.75
Np: 0.2500 0.2500 0.5000  6 S 2.76
S: 0.0000 0.2515 0.0000  5 Np 2.74-2.76, 1 Dy 2.78
S: 0.2487 0.5000 0.5000  4 Np 2.75-2.76, 2 Dy 2.77

Calculated values
Raw formation energy: -1185 kJ/mol of formula units

---

[15]
The following is a DFT calculation (PBE) of crystalline Dy3NpS4 at its relaxed geometry.

Cell: 3.9133 3.9133 38.0348 Å, 90.00 90.00 120.00°
With the nearest neighbours (Å) after each atom.
Space group R-3m (No. 166, hexagonal axes)
One atom of each set of equivalent atoms:
Dy: 0.0000 0.0000 0.0000  6 S 2.76
Dy: 0.0000 0.0000 0.2487  6 S 2.74-2.79
Np: 0.0000 0.0000 0.5000  6 S 2.75
S: 0.0000 0.0000 0.1253  3 Dy 2.74, 3 Np 2.75
S: 0.0000 0.0000 0.3751  6 Dy 2.76-2.79

Calculated values
Raw formation energy: -1433 kJ/mol of formula units

---

[16]
The following is a DFT calculation (PBE) of crystalline Dy5NpS6 at its relaxed geometry.

Cell: 6.7619 11.7239 6.7746 Å, 90.00 109.56 90.00°
With the nearest neighbours (Å) after each atom.
Space group C2/m (No. 12)
One atom of each set of equivalent atoms:
Dy: 0.0000 0.0000 0.0000  6 S 2.75-2.76
Dy: 0.0000 0.1678 0.5000  6 S 2.76-2.77
Dy: 0.0000 0.3313 0.0000  6 S 2.74-2.78
Np: 0.0000 0.5000 0.5000  6 S 2.77-2.78
S: 0.2493 0.0000 0.7513  5 Dy 2.75-2.78, 1 Np 2.78
S: 0.2492 0.1668 0.2494  5 Dy 2.74-2.77, 1 Np 2.77

Calculated values
Raw formation energy: -2190 kJ/mol of formula units

---

[17]
The following is a DFT calculation (PBE) of crystalline Dy2Np5S12 at its relaxed geometry.

Cell: 14.0709 7.7987 9.3310 Å, 90.00 110.63 90.00°
With the nearest neighbours (Å) after each atom.
Space group C2/m (No. 12)
One atom of each set of equivalent atoms:
Dy: 0.0000 0.2462 0.0000  6 S 2.70-2.77
Np: 0.0000 0.0000 0.5000  4 S 2.59
Np: 0.1971 0.5000 0.3832  7 S 2.70-2.99
Np: 0.2339 0.5000 0.9601  6 S 2.68-2.81
S: 0.0234 0.5000 0.8122  2 Dy 2.74, 2 Np 2.79-2.99
S: 0.0633 0.0000 0.8385  2 Dy 2.77, 2 Np 2.81-2.96
S: 0.1363 0.2245 0.5041  3 Np 2.59-2.82
S: 0.2014 0.2745 0.1551  3 Np 2.68-2.78, 1 Dy 2.70

Calculated values
Raw formation energy: -2640 kJ/mol of formula units

---

[18]
The following is a DFT calculation (PBE) of crystalline DyNpS4 at its relaxed geometry.

Cell: 8.7474 8.8892 4.0888 Å, 90.00 90.00 90.00°
With the nearest neighbours (Å) after each atom.
Space group Cmmm (No. 65)
One atom of each set of equivalent atoms:
Dy: 0.0000 0.0000 0.0000  6 S 2.72-2.78
Np: 0.0000 0.5000 0.5000  6 S 2.58-2.64
S: 0.0000 0.3124 0.0000  2 Np 2.64, 1 Dy 2.78
S: 0.2045 0.0000 0.5000  1 Np 2.58, 2 Dy 2.72

Calculated values
Raw formation energy: -800 kJ/mol of formula units

---

[19]
The following is a DFT calculation (PBE) of crystalline Dy3Np2S8 at its relaxed geometry.

Cell: 9.5499 13.3599 4.6145 Å, 90.00 90.00 90.00°
With the nearest neighbours (Å) after each atom.
Space group Cmmm (No. 65)
One atom of each set of equivalent atoms:
Dy: 0.0000 0.0000 0.0000  8 S 2.82-2.84
Dy: 0.2170 0.5000 0.5000  6 S 2.69-2.87
Np: 0.0000 0.2618 0.0000  8 S 2.74-2.98
S: 0.0000 0.1210 0.5000  4 Dy 2.82-3.15, 2 Np 2.98
S: 0.0000 0.3720 0.5000  2 Dy 2.69, 2 Np 2.74
S: 0.2412 0.1242 0.0000  3 Dy 2.84-2.87, 2 Np 2.90-2.95

Calculated values
Raw formation energy: -1992 kJ/mol of formula units

---

[20]
The following is a DFT calculation (PBE) of crystalline Dy4NpS7 at its relaxed geometry.

Cell: 12.8768 3.8189 11.6364 Å, 90.00 104.66 90.00°
With the nearest neighbours (Å) after each atom.
Space group Cm (No. 8)
One atom of each set of equivalent atoms:
Dy: 0.0000 0.0000 0.0000  6 S 2.70-2.82
Dy: 0.0835 0.5000 0.3898  7 S 2.74-2.95
Dy: 0.1864 0.0000 0.7673  7 S 2.74-2.96
Dy: 0.3847 0.5000 0.5791  6 S 2.68-2.75
Np: 0.2693 0.5000 0.1552  6 S 2.72-2.85
S: 0.0440 0.5000 0.6284  5 Dy 2.75-2.95
S: 0.1225 0.5000 0.9257  4 Dy 2.75-2.91, 1 Np 2.85
S: 0.1430 0.0000 0.2281  2 Np 2.78, 3 Dy 2.82-2.92
S: 0.2262 0.0000 0.5280  5 Dy 2.75-2.96
S: 0.3431 0.5000 0.7936  4 Dy 2.68-2.74
S: 0.3844 0.0000 0.0755  2 Dy 2.70, 2 Np 2.72
S: 0.4267 0.5000 0.3643  3 Dy 2.69-2.74, 1 Np 2.74

Calculated values
Raw formation energy: -2216 kJ/mol of formula units